AcCeGeRu: relaxed, PBE.

As for the formation energy: -0.374 eV per atom.

The space group is P4/nmm (No. 129, origin choice 2) and the conventional cell measures 4.755, 4.755 and 10.134 Å, with angles of 90.00, 90.00 and 90.00 degrees. The inequivalent atoms are Ac at (0.250, 0.250, 0.164), Ce at (0.250, 0.750, 0.500), Ge at (0.250, 0.250, 0.859) and Ru at (0.250, 0.250, 0.619).



AcCeGeSb: relaxed, PBE.

The value obtained for the raw total energy is -85.3 eV/cell.

The space group is F-43m (No. 216) and the conventional cell measures 7.779, 7.779 and 7.779 Å, with angles of 90.00, 90.00 and 90.00 degrees. The inequivalent atoms are Ac at (0.000, 0.000, 0.000), Ce at (0.000, 0.000, 0.500), Ge at (0.250, 0.250, 0.750) and Sb at (0.250, 0.250, 0.250).



AcCeGeSe: relaxed, PBE.

The polymorph energy (0 for the lowest one) is 0.000 eV per atom.

The space group is R3m (No. 160, hexagonal axes) and the conventional cell measures 4.4033, 4.4033 and 21.5341 Å, with angles of 90.00, 90.00 and 120.00 degrees. The inequivalent atoms are Ac at (0.0000, 0.0000, 0.0000), Ce at (0.0000, 0.0000, 0.5055), Ge at (0.0000, 0.0000, 0.2450) and Se at (0.0000, 0.0000, 0.7589).



AcCeGeSe: relaxed, PBE.

The polymorph energy (0 for the lowest one) is 0.287 eV per atom.

The space group is F-43m (No. 216) and the conventional cell measures 7.542, 7.542 and 7.542 Å, with angles of 90.00, 90.00 and 90.00 degrees. The inequivalent atoms are Ac at (0.000, 0.000, 0.000), Ce at (0.000, 0.000, 0.500), Ge at (0.250, 0.250, 0.250) and Se at (0.250, 0.250, 0.750).



AcCeSiGe: relaxed, PBE.

The value obtained for the raw total energy is -86.7 eV/cell.

The space group is F-43m (No. 216) and the conventional cell measures 7.507, 7.507 and 7.507 Å, with angles of 90.00, 90.00 and 90.00 degrees. The inequivalent atoms are Ac at (0.000, 0.000, 0.000), Ce at (0.000, 0.000, 0.500), Si at (0.250, 0.250, 0.250) and Ge at (0.250, 0.250, 0.750).



AcCeTcGe2: relaxed, PBE.

As for the formation energy: -0.443 eV per atom.

The space group is I-4m2 (No. 119) and the conventional cell measures 4.298, 4.298 and 12.810 Å, with angles of 90.00, 90.00 and 90.00 degrees. The inequivalent atoms are Ac at (0.000, 0.000, 0.000), Ce at (0.000, 0.500, 0.250), Tc at (0.000, 0.500, 0.750) and Ge at (0.000, 0.000, 0.398).



AcCeZn2Ge2: relaxed, PBE.

As for the formation energy: -0.600 eV per atom.

The space group is P-3m1 (No. 164) and the conventional cell measures 4.2968, 4.2968 and 8.8070 Å, with angles of 90.00, 90.00 and 120.00 degrees. The inequivalent atoms are Ac at (0.0000, 0.0000, 0.0000), Ce at (0.0000, 0.0000, 0.5000), Zn at (0.3333, 0.6667, 0.7294) and Ge at (0.3333, 0.6667, 0.2675).



AcCeZnGe: relaxed, PBE.

As for the formation energy: -0.377 eV per atom.

The space group is F-43m (No. 216) and the conventional cell measures 7.542, 7.542 and 7.542 Å, with angles of 90.00, 90.00 and 90.00 degrees. The inequivalent atoms are Ac at (0.000, 0.000, 0.000), Ce at (0.000, 0.000, 0.500), Zn at (0.250, 0.250, 0.250) and Ge at (0.250, 0.250, 0.750).



AcCeH4: relaxed, PBE.

The value obtained for the raw total energy is -26.7 eV/cell.

The space group is P4/mmm (No. 123) and the conventional cell measures 4.007, 4.007 and 5.690 Å, with angles of 90.00, 90.00 and 90.00 degrees. The inequivalent atoms are Ac at (0.000, 0.000, 0.000), Ce at (0.500, 0.500, 0.500) and H at (0.000, 0.500, 0.273).



Ac2CeH8: relaxed, PBE.

The value obtained for the raw total energy is -93.8 eV/cell.

The space group is Immm (No. 71) and the conventional cell measures 4.044, 5.693 and 12.075 Å, with angles of 90.00, 90.00 and 90.00 degrees. The inequivalent atoms are Ac at (0.000, 0.000, 0.168), Ce at (0.000, 0.000, 0.500), H at (0.000, 0.251, 0.345), H at (0.000, 0.253, 0.000) and H at (0.000, 0.500, 0.164).



Ac3CeH: relaxed, PBE.

The value obtained for the raw total energy is -21.9 eV/cell.

The space group is Pm-3m (No. 221) and the conventional cell measures 5.488, 5.488 and 5.488 Å, with angles of 90.00, 90.00 and 90.00 degrees. The inequivalent atoms are Ac at (0.000, 0.000, 0.500), Ce at (0.500, 0.500, 0.500) and H at (0.000, 0.000, 0.000).



AcCeH2: relaxed, PBE.

The polymorph energy (0 for the lowest one) is 0.108 eV per atom.

The space group is R3m (No. 160, hexagonal axes) and the conventional cell measures 3.7024, 3.7024 and 19.2920 Å, with angles of 90.00, 90.00 and 120.00 degrees. The inequivalent atoms are Ac at (0.0000, 0.0000, 0.0000), Ce at (0.0000, 0.0000, 0.8248), H at (0.0000, 0.0000, 0.2200) and H at (0.0000, 0.0000, 0.4242).



AcCeH: relaxed, PBE.

The polymorph energy (0 for the lowest one) is 0.165 eV per atom.

The space group is I4mm (No. 107) and the conventional cell measures 3.544, 3.544 and 12.702 Å, with angles of 90.00, 90.00 and 90.00 degrees. The inequivalent atoms are Ac at (0.000, 0.000, 0.000), Ce at (0.000, 0.000, 0.722) and H at (0.000, 0.000, 0.199).



no.,DOS at the Fermi energy (states/eV/cell)
1,10.776
2,33.811
3,17.811
4,22.315
5,32.693
6,7.119
7,7.776
8,36.647
9,8.765
10,16.114
11,9.826
12,18.466
13,13.002